1.
# Y3Tm7Sc (PBE, relaxed)
# Mass density   7.3 g/cm3
# E   -5.0181 eV/atom
# Energy of formation   0.1659 eV/atom
# Relative energy among the computed polymorphs   0.0000 eV/atom
# DOS(E_F)   18.50 states/eV/f.u.
# Total moment   0.00 μB/f.u.
data_Y3Tm7Sc
_cell_length_a 6.889
_cell_length_b 18.003
_cell_length_c 10.953
_cell_angle_alpha 90.00
_cell_angle_beta 90.12
_cell_angle_gamma 90.00
_space_group_name_H-M_alt 'C 1 2/m 1'
_space_group_IT_number 12
loop_
_space_group_symop_operation_xyz
'x,y,z'
'-x,-y,-z'
'-x,y,-z'
'x,-y,z'
'x+1/2,y+1/2,z'
'-x+1/2,-y+1/2,-z'
'-x+1/2,y+1/2,-z'
'x+1/2,-y+1/2,z'
loop_
_atom_site_label
_atom_site_type_symbol
_atom_site_fract_x
_atom_site_fract_y
_atom_site_fract_z
Y1 Y 0.000 0.000 0.000
Y2 Y 0.000 0.500 0.500
Y3 Y 0.001 0.249 0.250
Tm1 Tm 0.246 0.000 0.750
Tm2 Tm 0.246 0.414 0.751
Tm3 Tm 0.247 0.340 0.028
Tm4 Tm 0.249 0.160 0.527
Sc1 Sc 0.000 0.000 0.500
Sc2 Sc 0.000 0.500 0.000

---

2.
# LiPr2Os (PBE, relaxed)
# Mass density   5.3 g/cm3
# E   -5.4015 eV/atom
# Energy of formation   0.2741 eV/atom
# Relative energy among the computed polymorphs   0.3152 eV/atom
# DOS(E_F)   3.28 states/eV/f.u.
# Total moment   0.00 μB/f.u.
data_LiPr2Os
_cell_length_a 4.1052
_cell_length_b 4.1052
_cell_length_c 30.7349
_cell_angle_alpha 90.00
_cell_angle_beta 90.00
_cell_angle_gamma 120.00
_space_group_name_H-M_alt 'R -3 m'
_space_group_IT_number 166
_space_group_name_Hall '-R 3 2"'
loop_
_atom_site_label
_atom_site_type_symbol
_atom_site_fract_x
_atom_site_fract_y
_atom_site_fract_z
Li1 Li 0.0000 0.0000 0.0000
Pr1 Pr 0.0000 0.0000 0.1163
Os1 Os 0.0000 0.0000 0.5000

---

- Among the records above, which one has the lowest energy of formation?
  Y3Tm7Sc

---

- What is the E in the second record?
  -5.4015 eV/atom

---

Repeat the second record exactly.
# LiPr2Os (PBE, relaxed)
# Mass density   5.3 g/cm3
# E   -5.4015 eV/atom
# Energy of formation   0.2741 eV/atom
# Relative energy among the computed polymorphs   0.3152 eV/atom
# DOS(E_F)   3.28 states/eV/f.u.
# Total moment   0.00 μB/f.u.
data_LiPr2Os
_cell_length_a 4.1052
_cell_length_b 4.1052
_cell_length_c 30.7349
_cell_angle_alpha 90.00
_cell_angle_beta 90.00
_cell_angle_gamma 120.00
_space_group_name_H-M_alt 'R -3 m'
_space_group_IT_number 166
_space_group_name_Hall '-R 3 2"'
loop_
_atom_site_label
_atom_site_type_symbol
_atom_site_fract_x
_atom_site_fract_y
_atom_site_fract_z
Li1 Li 0.0000 0.0000 0.0000
Pr1 Pr 0.0000 0.0000 0.1163
Os1 Os 0.0000 0.0000 0.5000